[1]
## K2UCdS4 (GGA-PBE)

Data for a relaxed K2UCdS4 crystal.

Uncorrected energy, eV for the cell shown: -40.31
Mass density, g cm⁻³: 4.4
Raw formation energy, eV per atom: -1.17
Total magnetic moment, μB per atom: 0.250
Space-group type: P2/m (10)

CIF file:
```
data_K2UCdS4
_chemical_formula_sum 'K2 U1 Cd1 S4'
_cell_length_a 4.0504
_cell_length_b 6.9910
_cell_length_c 7.7697
_cell_angle_alpha 108.82
_cell_angle_beta 90.00
_cell_angle_gamma 90.00
_symmetry_space_group_name_H-M 'P 1'
_symmetry_Int_Tables_number 1
_symmetry_space_group_name_Hall 'P 1'
loop_
_atom_site_label
_atom_site_type_symbol
_atom_site_fract_x
_atom_site_fract_y
_atom_site_fract_z
K1 K 0.5000 0.0000 0.5000
K2 K 0.0000 0.5000 0.5000
U1 U 0.5000 0.5000 0.0000
Cd1 Cd 0.0000 0.0000 0.0000
S1 S 0.5000 0.2382 0.1938
S2 S 0.5000 0.7618 0.8062
S3 S 0.0000 0.2814 0.7917
S4 S 0.0000 0.7186 0.2083
```

=====

[2]
## RbBe2Si (GGA-PBE)

Data for a relaxed RbBe2Si crystal.

Uncorrected energy, eV for the cell shown: -23.56
Mass density, g cm⁻³: 2.3
Raw formation energy, eV per atom: 0.52
Total magnetic moment, μB per atom: 0.000
Space-group type: I4_1/amd (141)

CIF file:
```
data_RbBe2Si
_chemical_formula_sum 'Rb2 Be4 Si2'
_cell_length_a 5.2749
_cell_length_b 5.2749
_cell_length_c 7.8486
_cell_angle_alpha 70.36
_cell_angle_beta 70.36
_cell_angle_gamma 90.00
_symmetry_space_group_name_H-M 'P 1'
_symmetry_Int_Tables_number 1
_symmetry_space_group_name_Hall 'P 1'
loop_
_atom_site_label
_atom_site_type_symbol
_atom_site_fract_x
_atom_site_fract_y
_atom_site_fract_z
Be1 Be 0.3749 0.1250 0.2500
Be2 Be 0.3751 0.6250 0.2500
Be3 Be 0.3750 0.6251 0.7500
Be4 Be 0.8750 0.6249 0.7500
Si1 Si 0.5000 0.5000 0.0000
Si2 Si 0.2500 0.7500 0.5000
Rb1 Rb 0.0000 0.0000 0.0000
Rb2 Rb 0.7500 0.2500 0.5000
```

=====

[3]
## KMgAgP2 (GGA-PBE)

Data for a relaxed KMgAgP2 crystal.

Uncorrected energy, eV for the cell shown: -8.50
Mass density, g cm⁻³: 2.6
Energy of formation, eV/atom: 1.5729
Total magnetic moment, μB per atom: 0.000
Space-group type: P4/mmm (123)

CIF file:
```
data_KMgAgP2
_chemical_formula_sum 'K1 Mg1 Ag1 P2'
_cell_length_a 5.3298
_cell_length_b 5.3254
_cell_length_c 5.3298
_cell_angle_alpha 90.00
_cell_angle_beta 90.00
_cell_angle_gamma 90.00
_symmetry_space_group_name_H-M 'P 1'
_symmetry_Int_Tables_number 1
_symmetry_space_group_name_Hall 'P 1'
loop_
_atom_site_label
_atom_site_type_symbol
_atom_site_fract_x
_atom_site_fract_y
_atom_site_fract_z
P1 P 0.0000 0.0000 0.5000
P2 P 0.5000 0.0000 0.0000
K1 K 0.0000 0.0000 0.0000
Mg1 Mg 0.0000 0.5000 0.0000
Ag1 Ag 0.5000 0.5000 0.5000
```

=====

[4]
## Ce3PuCo4 (GGA-PBE)

Data for a relaxed Ce3PuCo4 crystal.

Uncorrected energy, eV for the cell shown: -245.43
Mass density, g cm⁻³: 9.9
Energy of formation, eV/atom: -0.1002
Total magnetic moment, μB per atom: 0.658
Space-group type: P2_1/c (14)

CIF file:
```
data_Ce3PuCo4
_chemical_formula_sum 'Ce12 Pu4 Co16'
_cell_length_a 10.9832
_cell_length_b 10.8710
_cell_length_c 5.0689
_cell_angle_alpha 89.96
_cell_angle_beta 90.00
_cell_angle_gamma 90.00
_symmetry_space_group_name_H-M 'P 1'
_symmetry_Int_Tables_number 1
_symmetry_space_group_name_Hall 'P 1'
loop_
_atom_site_label
_atom_site_type_symbol
_atom_site_fract_x
_atom_site_fract_y
_atom_site_fract_z
Co1 Co 0.1118 0.2494 0.9386
Co2 Co 0.5997 0.4515 0.9453
Co3 Co 0.5997 0.0491 0.9455
Co4 Co 0.9394 0.2505 0.2167
Co5 Co 0.4394 0.7495 0.2833
Co6 Co 0.0997 0.9509 0.5545
Co7 Co 0.0997 0.5485 0.5547
Co8 Co 0.6118 0.7506 0.5614
Co9 Co 0.3882 0.2494 0.4386
Co10 Co 0.9003 0.4515 0.4453
Co11 Co 0.9003 0.0491 0.4455
Co12 Co 0.5606 0.2505 0.7167
Co13 Co 0.0606 0.7495 0.7833
Co14 Co 0.4003 0.9509 0.0545
Co15 Co 0.4003 0.5485 0.0547
Co16 Co 0.8882 0.7506 0.0614
Ce1 Ce 0.6121 0.7504 0.0028
Ce2 Ce 0.1367 0.0038 0.9886
Ce3 Ce 0.1366 0.4951 0.9886
Ce4 Ce 0.6366 0.5049 0.5114
Ce5 Ce 0.6367 0.9962 0.5114
Ce6 Ce 0.1121 0.2496 0.4972
Ce7 Ce 0.8879 0.7504 0.5028
Ce8 Ce 0.3633 0.0038 0.4886
Ce9 Ce 0.3634 0.4951 0.4886
Ce10 Ce 0.8634 0.5049 0.0114
Ce11 Ce 0.8633 0.9962 0.0114
Ce12 Ce 0.3879 0.2496 0.9972
Pu1 Pu 0.6799 0.2505 0.2420
Pu2 Pu 0.1799 0.7495 0.2580
Pu3 Pu 0.8201 0.2505 0.7420
Pu4 Pu 0.3201 0.7495 0.7580
```

=====

[5]
## Li4Mn3NbS8 (GGA-PBE)

Data for a relaxed Li4Mn3NbS8 crystal.

Uncorrected energy, eV for the cell shown: -92.95
Mass density, g cm⁻³: 3.4
Raw formation energy, eV per atom: -0.92
Total magnetic moment, μB per atom: 0.843
Space-group type: R-3m (166)

CIF file:
```
data_Li4Mn3NbS8
_chemical_formula_sum 'Li4 Mn3 Nb1 S8'
_cell_length_a 7.1841
_cell_length_b 7.2861
_cell_length_c 7.1839
_cell_angle_alpha 119.54
_cell_angle_beta 120.00
_cell_angle_gamma 90.00
_symmetry_space_group_name_H-M 'P 1'
_symmetry_Int_Tables_number 1
_symmetry_space_group_name_Hall 'P 1'
loop_
_atom_site_label
_atom_site_type_symbol
_atom_site_fract_x
_atom_site_fract_y
_atom_site_fract_z
Li1 Li 0.5000 0.0000 0.0000
Li2 Li 0.5000 0.0000 0.5000
Li3 Li 0.0000 0.0000 0.0000
Li4 Li 0.0000 0.0000 0.5000
Mn1 Mn 0.5000 0.5000 0.0000
Mn2 Mn 0.5000 0.5000 0.5000
Mn3 Mn 0.0000 0.5000 0.5000
Nb1 Nb 0.0000 0.5000 0.0000
S1 S 0.2438 0.7371 0.9933
S2 S 0.2438 0.7371 0.4876
S3 S 0.2595 0.2784 0.5190
S4 S 0.7495 0.7371 0.9933
S5 S 0.2505 0.2629 0.0067
S6 S 0.7405 0.7216 0.4810
S7 S 0.7562 0.2629 0.5124
S8 S 0.7562 0.2629 0.0067
```

=====

[6]
## K2Rb12Hg7 (GGA-PBE)

Data for a relaxed K2Rb12Hg7 crystal.

Uncorrected energy, eV for the cell shown: -18.64
Mass density, g cm⁻³: 3.5
Energy of formation, eV/atom: -0.1296
Total magnetic moment, μB per atom: 0.000
Space-group type: P-3 (147)

CIF file:
```
data_K2Rb12Hg7
_chemical_formula_sum 'K2 Rb12 Hg7'
_cell_length_a 5.7261
_cell_length_b 15.4621
_cell_length_c 15.4621
_cell_angle_alpha 120.00
_cell_angle_beta 90.00
_cell_angle_gamma 90.00
_symmetry_space_group_name_H-M 'P 1'
_symmetry_Int_Tables_number 1
_symmetry_space_group_name_Hall 'P 1'
loop_
_atom_site_label
_atom_site_type_symbol
_atom_site_fract_x
_atom_site_fract_y
_atom_site_fract_z
K1 K 0.2455 0.3333 0.6667
K2 K 0.7545 0.6667 0.3333
Rb1 Rb 0.2507 0.6212 0.0705
Rb2 Rb 0.2507 0.4493 0.3788
Rb3 Rb 0.2507 0.9295 0.5507
Rb4 Rb 0.7493 0.3788 0.9295
Rb5 Rb 0.7493 0.5507 0.6212
Rb6 Rb 0.7493 0.0705 0.4493
Rb7 Rb 0.2454 0.1158 0.2586
Rb8 Rb 0.2454 0.1428 0.8842
Rb9 Rb 0.2454 0.7414 0.8572
Rb10 Rb 0.7546 0.8842 0.7414
Rb11 Rb 0.7546 0.8572 0.1158
Rb12 Rb 0.7546 0.2586 0.1428
Hg1 Hg 0.5000 0.0000 0.0000
Hg2 Hg 0.2511 0.8830 0.2927
Hg3 Hg 0.2511 0.4098 0.1170
Hg4 Hg 0.2511 0.7073 0.5902
Hg5 Hg 0.7489 0.1170 0.7073
Hg6 Hg 0.7489 0.5902 0.8830
Hg7 Hg 0.7489 0.2927 0.4098
```

=====

[7]
## Cs2TiCl5 (GGA-PBE)

Data for a relaxed Cs2TiCl5 crystal.

Uncorrected energy, eV for the cell shown: -33.33
Mass density, g cm⁻³: 2.7
Raw formation energy, eV per atom: -1.81
Total magnetic moment, μB per atom: 0.125
Space-group type: I4mm (107)

CIF file:
```
data_Cs2TiCl5
_chemical_formula_sum 'Cs2 Ti1 Cl5'
_cell_length_a 7.3445
_cell_length_b 7.3445
_cell_length_c 7.3445
_cell_angle_alpha 99.15
_cell_angle_beta 114.86
_cell_angle_gamma 114.86
_symmetry_space_group_name_H-M 'P 1'
_symmetry_Int_Tables_number 1
_symmetry_space_group_name_Hall 'P 1'
loop_
_atom_site_label
_atom_site_type_symbol
_atom_site_fract_x
_atom_site_fract_y
_atom_site_fract_z
Cs1 Cs 0.5000 0.2386 0.7386
Cs2 Cs 0.5000 0.7386 0.2386
Ti1 Ti 0.0000 0.0410 0.0410
Cl1 Cl 0.5809 0.7723 0.7723
Cl2 Cl 0.0000 0.7723 0.1913
Cl3 Cl 0.0000 0.1913 0.7723
Cl4 Cl 0.4191 0.1913 0.1913
Cl5 Cl 0.0000 0.2766 0.2766
```

=====

[8]
## NaPuPb (GGA-PBE)

Data for a relaxed NaPuPb crystal.

Uncorrected energy, eV for the cell shown: -38.54
Mass density, g cm⁻³: 9.6
Energy of formation, eV/atom: 0.0303
Total magnetic moment, μB per atom: 0.000
Space-group type: R-3m (166)

CIF file:
```
data_NaPuPb
_chemical_formula_sum 'Na2 Pu2 Pb2'
_cell_length_a 3.5681
_cell_length_b 3.5681
_cell_length_c 15.0016
_cell_angle_alpha 83.17
_cell_angle_beta 83.17
_cell_angle_gamma 60.00
_symmetry_space_group_name_H-M 'P 1'
_symmetry_Int_Tables_number 1
_symmetry_space_group_name_Hall 'P 1'
loop_
_atom_site_label
_atom_site_type_symbol
_atom_site_fract_x
_atom_site_fract_y
_atom_site_fract_z
Pb1 Pb 0.2610 0.2610 0.2171
Pb2 Pb 0.7390 0.7390 0.7829
Pu1 Pu 0.3463 0.3463 0.9610
Pu2 Pu 0.6537 0.6537 0.0390
Na1 Na 0.8679 0.8679 0.3964
Na2 Na 0.1321 0.1321 0.6036
```

=====

[9]
## Sr2CaHo (GGA-PBE)

Data for a relaxed Sr2CaHo crystal.

Uncorrected energy, eV for the cell shown: -9.21
Mass density, g cm⁻³: 3.7
Energy of formation, eV/atom: 0.1822
Total magnetic moment, μB per atom: 0.000
Space-group type: Fm-3m (225)

CIF file:
```
data_Sr2CaHo
_chemical_formula_sum 'Sr2 Ca1 Ho1'
_cell_length_a 6.2261
_cell_length_b 6.2261
_cell_length_c 6.2261
_cell_angle_alpha 60.00
_cell_angle_beta 60.00
_cell_angle_gamma 60.00
_symmetry_space_group_name_H-M 'P 1'
_symmetry_Int_Tables_number 1
_symmetry_space_group_name_Hall 'P 1'
loop_
_atom_site_label
_atom_site_type_symbol
_atom_site_fract_x
_atom_site_fract_y
_atom_site_fract_z
Sr1 Sr 0.2500 0.2500 0.2500
Sr2 Sr 0.7500 0.7500 0.7500
Ca1 Ca 0.0000 0.0000 0.0000
Ho1 Ho 0.5000 0.5000 0.5000
```

=====

[10]
## Zr2Al3 (GGA-PBE)

Data for a relaxed Zr2Al3 crystal.

Uncorrected energy, eV for the cell shown: -61.89
Mass density, g cm⁻³: 4.7
Energy of formation, eV/atom: -0.5241
Total magnetic moment, μB per atom: 0.000
Space-group type: Fdd2 (43)

CIF file:
```
data_Zr2Al3
_chemical_formula_sum 'Zr4 Al6'
_cell_length_a 8.4786
_cell_length_b 7.5177
_cell_length_c 5.5651
_cell_angle_alpha 79.26
_cell_angle_beta 60.59
_cell_angle_gamma 40.16
_symmetry_space_group_name_H-M 'P 1'
_symmetry_Int_Tables_number 1
_symmetry_space_group_name_Hall 'P 1'
loop_
_atom_site_label
_atom_site_type_symbol
_atom_site_fract_x
_atom_site_fract_y
_atom_site_fract_z
Al1 Al 0.5989 0.4011 0.4011
Al2 Al 0.8489 0.6511 0.6511
Al3 Al 0.4293 0.8406 0.2075
Al4 Al 0.5227 0.2075 0.8406
Al5 Al 0.4094 0.8207 0.7273
Al6 Al 0.0425 0.7273 0.8207
Zr1 Zr 0.8549 0.2506 0.7803
Zr2 Zr 0.1142 0.7803 0.2506
Zr3 Zr 0.9994 0.3951 0.1358
Zr4 Zr 0.4697 0.1358 0.3951
```

=====

[11]
## MgC3 (GGA-PBE)

Data for a relaxed MgC3 crystal.

Uncorrected energy, eV for the cell shown: -40.53
Mass density, g cm⁻³: 2.7
Energy of formation, eV/atom: 2.2506
Total magnetic moment, μB per atom: 0.000
Space-group type: I4/mmm (139)

CIF file:
```
data_MgC3
_chemical_formula_sum 'Mg2 C6'
_cell_length_a 7.8688
_cell_length_b 7.8688
_cell_length_c 7.8688
_cell_angle_alpha 157.01
_cell_angle_beta 157.01
_cell_angle_gamma 32.74
_symmetry_space_group_name_H-M 'P 1'
_symmetry_Int_Tables_number 1
_symmetry_space_group_name_Hall 'P 1'
loop_
_atom_site_label
_atom_site_type_symbol
_atom_site_fract_x
_atom_site_fract_y
_atom_site_fract_z
Mg1 Mg 0.6395 0.6395 0.0000
Mg2 Mg 0.3605 0.3605 0.0000
C1 C 0.0000 0.5000 0.5000
C2 C 0.5000 0.0000 0.5000
C3 C 0.7500 0.2500 0.5000
C4 C 0.2500 0.7500 0.5000
C5 C 0.9474 0.9474 0.0000
C6 C 0.0526 0.0526 0.0000
```

=====

[12]
## Nd13Mg3 (GGA-PBE)

Data for a relaxed Nd13Mg3 crystal.

Uncorrected energy, eV for the cell shown: -66.56
Mass density, g cm⁻³: 6.1
Energy of formation, eV/atom: 0.0128
Total magnetic moment, μB per atom: 0.000
Space-group type: Amm2 (38)

CIF file:
```
data_Nd13Mg3
_chemical_formula_sum 'Nd13 Mg3'
_cell_length_a 7.1393
_cell_length_b 7.1393
_cell_length_c 10.4093
_cell_angle_alpha 90.00
_cell_angle_beta 90.00
_cell_angle_gamma 92.52
_symmetry_space_group_name_H-M 'P 1'
_symmetry_Int_Tables_number 1
_symmetry_space_group_name_Hall 'P 1'
loop_
_atom_site_label
_atom_site_type_symbol
_atom_site_fract_x
_atom_site_fract_y
_atom_site_fract_z
Nd1 Nd 0.9982 0.4989 0.7558
Nd2 Nd 0.4986 0.5014 0.7417
Nd3 Nd 0.5011 0.0018 0.7558
Nd4 Nd 0.2615 0.2576 0.0000
Nd5 Nd 0.7424 0.7385 0.0000
Nd6 Nd 0.2422 0.7578 0.0000
Nd7 Nd 0.9982 0.4989 0.2442
Nd8 Nd 0.4986 0.5014 0.2583
Nd9 Nd 0.5011 0.0018 0.2442
Nd10 Nd 0.7338 0.2662 0.5000
Nd11 Nd 0.2293 0.2315 0.5000
Nd12 Nd 0.7685 0.7707 0.5000
Nd13 Nd 0.2710 0.7290 0.5000
Mg1 Mg 0.9979 0.0021 0.7587
Mg2 Mg 0.7595 0.2405 0.0000
Mg3 Mg 0.9979 0.0021 0.2413
```